# TbErNi2Ge4

A geometry-optimized TbErNi2Ge4 structure (GGA-PBE, the Open Quantum Materials Database).

Symmetry: Amm2, No. 38
Raw total energy, eV/atom: -5.547

abc: 4.1555 8.6724 8.6724
angles: 27.19 90.00 90.00
Positions (direct):
1 Tb 0.0000 0.0000 0.0000
2 Er 0.5000 0.7853 0.7853
3 Ni 0.0000 0.2156 0.2156
4 Ni 0.5000 0.5705 0.5705
5 Ge 0.0000 0.3513 0.3513
6 Ge 0.0000 0.6419 0.6419
7 Ge 0.5000 0.1444 0.1444
8 Ge 0.5000 0.4340 0.4340